Sm3NbO7 | PBEsol | optimized geometry Values from VASP.

```
&SYSTEM
  ibrav = 0, nat = 22, ntyp = 3
/
ATOMIC_SPECIES
Sm 150.36 Sm.upf
O 16.00 O.upf
Nb 92.91 Nb.upf
ATOMIC_POSITIONS angstrom
Sm 0.0000 0.0000 0.0000
Sm -5.3260 3.5707 1.3510
Sm -4.7149 -3.2272 1.8949
Sm -5.7721 -0.1436 -1.7020
Sm -4.2687 0.4871 4.9479
Sm -2.0074 2.1243 2.4112
O -5.5395 1.5480 2.9553
O -3.0092 -3.3186 3.3955
O -4.5014 -1.2045 0.2906
O -2.3082 -0.1646 -1.3291
O -7.7326 0.5081 4.5750
O -4.7380 1.7234 -2.4859
O -3.4113 -0.1167 2.7692
O -1.7058 -1.9217 0.7205
O -6.0271 -1.2969 2.5263
O -7.0316 3.6621 -0.1496
O -5.3029 -1.3798 5.7318
O -8.3351 2.2652 2.5254
O -4.0138 1.6404 0.7195
O -6.6295 0.4602 0.4767
Nb -5.0204 0.1718 1.6229
Nb -3.0131 -1.9525 -0.7882
CELL_PARAMETERS angstrom
-4.1844 1.4638 -4.7733
-1.8417 -5.3689 3.1969
-4.0147 4.2486 4.8223
```

Properties
As for the energy above the most stable polymorph in this dataset: 0.0156 eV/atom. The formation energy from raw total energies is -3.256 eV per atom. The total energy comes out at -8.969 eV/atom. The spin magnetization comes out at 0.000 μB/atom. The calculated volume is 13.62 Å³ per atom.